(1)
Crystalline Tl3PbN at its relaxed geometry, computed with PBE.

```
Tl3PbN
1.0
6.053 0.000 0.000
0.000 6.053 0.000
0.000 0.000 6.053
Tl Pb N
3 1 1
Direct
0.000 0.000 0.500
0.000 0.500 0.000
0.500 0.000 0.000
0.000 0.000 0.000
0.500 0.500 0.500
```

Calculated values
* SG: No. 221
* calculated total energy: -2.26 eV/atom
* formation energy without anion corrections: 1.5634 eV per atom


(2)
Crystalline GaBi2F at its relaxed geometry, computed with PBE.

```
GaBi2F
1.0
-2.520 2.520 8.408
2.520 -2.520 8.408
2.520 2.520 -8.408
Ga Bi F
2 4 2
Direct
0.000 0.000 0.000
0.750 0.250 0.500
0.179 0.625 0.054
0.375 0.429 0.554
0.571 0.125 0.946
0.875 0.821 0.446
0.250 0.750 0.500
0.500 0.500 0.000
```

Calculated values
* SG: No. 122
* calculated total energy: -3.63 eV/atom
* formation energy without anion corrections: -0.4616 eV per atom


no.,energy above the lowest structure with this stoichiometry (eV/atom),DOS at the Fermi energy (states/eV/f.u.)
1,0.924,19.41
2,0.107,0.75